[1]
Entry from the Alexandria database: V3MoOs after structural relaxation (PBE).

Results
calculated formation energy: 0.04 eV per atom
calculated density: 10.12 g cm⁻³
crystal system: triclinic

Cell lengths 5.0799, 4.8201, 7.2440 Å; angles 70.74, 70.27, 61.83 degrees
Element x y z (fractional)
1 V 0.0514 0.9723 0.4493
2 V 0.5687 0.4453 0.9846
3 V 0.3109 0.7083 0.7149
4 V 0.0343 0.4157 0.0774
5 V 0.7677 0.6225 0.4315
6 V 0.4993 0.8934 0.1611
7 Mo 0.4553 0.3083 0.3746
8 Mo 0.6322 0.0178 0.7755
9 Os 0.0277 0.3542 0.7085
10 Os 0.0356 0.9119 0.0834



[2]
Entry from the Alexandria database: Y2MgAuO after structural relaxation (PBE).

Results
calculated density: 7.13 g cm⁻³
crystal system: tetragonal
E_form (uncorrected): -1.43 eV per atom

Cell lengths 4.8288, 4.8288, 4.1476 Å; angles 90.00, 90.00, 90.00 degrees
Element x y z (fractional)
1 Y 0.0000 0.5000 0.0000
2 Y 0.5000 0.0000 0.0000
3 Mg 0.0000 0.0000 0.5000
4 Au 0.5000 0.5000 0.5000
5 O 0.0000 0.0000 0.0000



[3]
Entry from the Alexandria database: Zr2TaGa2Ru5 after structural relaxation (PBE).

Results
calculated formation energy: -0.42 eV per atom
calculated density: 10.26 g cm⁻³
crystal system: tetragonal

Cell lengths 3.3269, 9.9056, 9.9056 Å; angles 90.00, 90.00, 90.00 degrees
Element x y z (fractional)
1 Zr 0.0000 0.6705 0.1705
2 Zr 0.0000 0.3295 0.8295
3 Zr 0.0000 0.1705 0.3295
4 Zr 0.0000 0.8295 0.6705
5 Ta 0.0000 0.0000 0.0000
6 Ta 0.0000 0.5000 0.5000
7 Ga 0.0000 0.1289 0.6289
8 Ga 0.0000 0.8711 0.3711
9 Ga 0.0000 0.6289 0.8711
10 Ga 0.0000 0.3711 0.1289
11 Ru 0.5000 0.2024 0.0603
12 Ru 0.5000 0.7976 0.9397
13 Ru 0.5000 0.0603 0.7976
14 Ru 0.5000 0.7024 0.4397
15 Ru 0.5000 0.9397 0.2024
16 Ru 0.5000 0.2976 0.5603
17 Ru 0.5000 0.5603 0.7024
18 Ru 0.5000 0.4397 0.2976
19 Ru 0.5000 0.5000 0.0000
20 Ru 0.5000 0.0000 0.5000



[4]
Entry from the Alexandria database: KBa2SrNb after structural relaxation (PBE).

Results
calculated formation energy: 1.75 eV per atom
calculated density: 2.94 g cm⁻³
crystal system: tetragonal

Cell lengths 6.6840, 6.2401, 6.6840 Å; angles 90.00, 90.00, 90.00 degrees
Element x y z (fractional)
1 K 0.0000 0.5000 0.0000
2 Sr 0.0000 0.0000 0.0000
3 Nb 0.5000 0.5000 0.5000
4 Ba 0.0000 0.0000 0.5000
5 Ba 0.5000 0.0000 0.0000



[5]
Entry from the Alexandria database: RbScSi after structural relaxation (PBE).

Results
calculated density: 2.59 g cm⁻³
crystal system: monoclinic
E_form (uncorrected): -0.23 eV per atom

Cell lengths 4.0601, 13.6267, 3.7102 Å; angles 90.40, 90.00, 98.59 degrees
Element x y z (fractional)
1 Sc 0.0819 0.5268 0.2180
2 Sc 0.9876 0.3391 0.7132
3 Si 0.5024 0.3685 0.2140
4 Si 0.5670 0.4974 0.7173
5 Rb 0.7026 0.7681 0.7213
6 Rb 0.3666 0.0977 0.2018



[6]
Entry from the Alexandria database: BeCuI2N after structural relaxation (PBE).

Results
calculated density: 5.06 g cm⁻³
crystal system: tetragonal
E_form (uncorrected): 1.10 eV per atom

Cell lengths 5.5004, 5.5004, 3.6941 Å; angles 90.00, 90.00, 90.00 degrees
Element x y z (fractional)
1 I 0.0000 0.5000 0.0000
2 I 0.5000 0.0000 0.0000
3 Be 0.5000 0.5000 0.5000
4 Cu 0.0000 0.0000 0.0000
5 N 0.0000 0.0000 0.5000